# 1
Density functional theory data (PBE) for a relaxed DyThCuNi crystal.

The structure in CIF format:
```
data_DyThCuNi
_chemical_formula_sum 'Dy1 Th1 Cu1 Ni1'
_space_group_name_H-M_alt 'P 1'
_space_group_IT_number 1
_space_group_name_Hall 'P 1'
_cell_length_a 3.689
_cell_length_b 4.295
_cell_length_c 5.765
_cell_angle_alpha 90.00
_cell_angle_beta 108.66
_cell_angle_gamma 90.00
loop_
_atom_site_label
_atom_site_type_symbol
_atom_site_fract_x
_atom_site_fract_y
_atom_site_fract_z
_atom_site_occupancy
Cu1 Cu 0.577 0.500 0.155 1
Dy1 Dy 0.139 0.000 0.278 1
Th1 Th 0.866 0.500 0.733 1
Ni1 Ni 0.417 0.000 0.835 1
```

Calculated values
**ΔE_f**: -0.327 eV per atom
**Space-group type**: Amm2 (38)
**VASP energy**: -5.80 eV/atom

***

# 2
Density functional theory data (PBE) for a relaxed DyTmCuNi crystal.

The structure in CIF format:
```
data_DyTmCuNi
_chemical_formula_sum 'Dy1 Tm1 Cu1 Ni1'
_space_group_name_H-M_alt 'P 1'
_space_group_IT_number 1
_space_group_name_Hall 'P 1'
_cell_length_a 4.799
_cell_length_b 4.799
_cell_length_c 4.799
_cell_angle_alpha 60.00
_cell_angle_beta 60.00
_cell_angle_gamma 60.00
loop_
_atom_site_label
_atom_site_type_symbol
_atom_site_fract_x
_atom_site_fract_y
_atom_site_fract_z
_atom_site_occupancy
Tm1 Tm 0.500 0.500 0.500 1
Ni1 Ni 0.750 0.750 0.750 1
Dy1 Dy 0.000 0.000 0.000 1
Cu1 Cu 0.250 0.250 0.250 1
```

Calculated values
**ΔE_f**: -0.347 eV per atom
**Space-group type**: F-43m (216)
**VASP energy**: -5.09 eV/atom

***

# 3
Density functional theory data (PBE) for a relaxed DyTmCuNi crystal.

The structure in CIF format:
```
data_DyTmCuNi
_chemical_formula_sum 'Dy1 Tm1 Cu1 Ni1'
_space_group_name_H-M_alt 'P 1'
_space_group_IT_number 1
_space_group_name_Hall 'P 1'
_cell_length_a 3.660
_cell_length_b 4.383
_cell_length_c 5.381
_cell_angle_alpha 90.00
_cell_angle_beta 109.88
_cell_angle_gamma 90.00
loop_
_atom_site_label
_atom_site_type_symbol
_atom_site_fract_x
_atom_site_fract_y
_atom_site_fract_z
_atom_site_occupancy
Tm1 Tm 0.861 0.500 0.723 1
Ni1 Ni 0.426 0.000 0.853 1
Dy1 Dy 0.140 0.000 0.280 1
Cu1 Cu 0.572 0.500 0.144 1
```

Calculated values
**ΔE_f**: -0.381 eV per atom
**Space-group type**: Amm2 (38)
**VASP energy**: -5.12 eV/atom

***

# 4
Density functional theory data (PBE) for a relaxed DyZn3CuNi crystal.

The structure in CIF format:
```
data_DyZn3CuNi
_chemical_formula_sum 'Dy2 Zn6 Cu2 Ni2'
_space_group_name_H-M_alt 'P 1'
_space_group_IT_number 1
_space_group_name_Hall 'P 1'
_cell_length_a 5.202
_cell_length_b 7.950
_cell_length_c 6.607
_cell_angle_alpha 126.98
_cell_angle_beta 90.00
_cell_angle_gamma 90.00
loop_
_atom_site_label
_atom_site_type_symbol
_atom_site_fract_x
_atom_site_fract_y
_atom_site_fract_z
_atom_site_occupancy
Cu1 Cu 0.750 0.047 0.094 1
Cu2 Cu 0.250 0.953 0.906 1
Dy1 Dy 0.250 0.688 0.377 1
Dy2 Dy 0.750 0.312 0.623 1
Zn1 Zn 0.250 0.183 0.367 1
Zn2 Zn 0.000 0.257 0.000 1
Zn3 Zn 0.500 0.743 0.000 1
Zn4 Zn 0.750 0.817 0.633 1
Zn5 Zn 0.500 0.257 0.000 1
Zn6 Zn 0.000 0.743 0.000 1
Ni1 Ni 0.250 0.419 0.838 1
Ni2 Ni 0.750 0.581 0.162 1
```

Calculated values
**ΔE_f**: -0.103 eV per atom
**Space-group type**: Cmcm (63)
**VASP energy**: -3.15 eV/atom

***

# 5
Density functional theory data (PBE) for a relaxed Dy2ZnCu3Ni12 crystal.

The structure in CIF format:
```
data_Dy2ZnCu3Ni12
_chemical_formula_sum 'Dy2 Zn1 Cu3 Ni12'
_space_group_name_H-M_alt 'P 1'
_space_group_IT_number 1
_space_group_name_Hall 'P 1'
_cell_length_a 10.791
_cell_length_b 10.791
_cell_length_c 10.791
_cell_angle_alpha 28.24
_cell_angle_beta 28.24
_cell_angle_gamma 28.24
loop_
_atom_site_label
_atom_site_type_symbol
_atom_site_fract_x
_atom_site_fract_y
_atom_site_fract_z
_atom_site_occupancy
Ni1 Ni 0.593 0.150 0.593 1
Ni2 Ni 0.389 0.893 0.893 1
Ni3 Ni 0.893 0.893 0.389 1
Ni4 Ni 0.107 0.611 0.107 1
Ni5 Ni 0.407 0.407 0.850 1
Ni6 Ni 0.107 0.107 0.611 1
Ni7 Ni 0.593 0.593 0.150 1
Ni8 Ni 0.407 0.850 0.407 1
Ni9 Ni 0.150 0.593 0.593 1
Ni10 Ni 0.611 0.107 0.107 1
Ni11 Ni 0.893 0.389 0.893 1
Ni12 Ni 0.850 0.407 0.407 1
Zn1 Zn 0.000 0.000 0.000 1
Cu1 Cu 0.500 0.000 0.000 1
Cu2 Cu 0.000 0.000 0.500 1
Cu3 Cu 0.000 0.500 0.000 1
Dy1 Dy 0.641 0.641 0.641 1
Dy2 Dy 0.359 0.359 0.359 1
```

Calculated values
**ΔE_f**: 0.158 eV per atom
**Space-group type**: R-3m (166)
**VASP energy**: -4.96 eV/atom

***

# 6
Density functional theory data (PBE) for a relaxed Dy2ZnCu12Ni3 crystal.

The structure in CIF format:
```
data_Dy2ZnCu12Ni3
_chemical_formula_sum 'Dy2 Zn1 Cu12 Ni3'
_space_group_name_H-M_alt 'P 1'
_space_group_IT_number 1
_space_group_name_Hall 'P 1'
_cell_length_a 6.358
_cell_length_b 6.358
_cell_length_c 6.358
_cell_angle_alpha 83.09
_cell_angle_beta 83.09
_cell_angle_gamma 83.09
loop_
_atom_site_label
_atom_site_type_symbol
_atom_site_fract_x
_atom_site_fract_y
_atom_site_fract_z
_atom_site_occupancy
Zn1 Zn 0.000 0.000 0.000 1
Ni1 Ni 0.000 0.000 0.500 1
Ni2 Ni 0.500 0.000 0.000 1
Ni3 Ni 0.000 0.500 0.000 1
Cu1 Cu 0.801 0.801 0.279 1
Cu2 Cu 0.424 0.424 0.851 1
Cu3 Cu 0.721 0.199 0.199 1
Cu4 Cu 0.279 0.801 0.801 1
Cu5 Cu 0.576 0.149 0.576 1
Cu6 Cu 0.576 0.576 0.149 1
Cu7 Cu 0.851 0.424 0.424 1
Cu8 Cu 0.424 0.851 0.424 1
Cu9 Cu 0.149 0.576 0.576 1
Cu10 Cu 0.199 0.721 0.199 1
Cu11 Cu 0.199 0.199 0.721 1
Cu12 Cu 0.801 0.279 0.801 1
Dy1 Dy 0.746 0.746 0.746 1
Dy2 Dy 0.254 0.254 0.254 1
```

Calculated values
**ΔE_f**: 0.004 eV per atom
**Space-group type**: R-3m (166)
**VASP energy**: -4.27 eV/atom

***

# 7
Density functional theory data (PBE) for a relaxed Dy2ZnCu5Ni2 crystal.

The structure in CIF format:
```
data_Dy2ZnCu5Ni2
_chemical_formula_sum 'Dy4 Zn2 Cu10 Ni4'
_space_group_name_H-M_alt 'P 1'
_space_group_IT_number 1
_space_group_name_Hall 'P 1'
_cell_length_a 3.798
_cell_length_b 8.995
_cell_length_c 8.995
_cell_angle_alpha 90.00
_cell_angle_beta 90.00
_cell_angle_gamma 90.00
loop_
_atom_site_label
_atom_site_type_symbol
_atom_site_fract_x
_atom_site_fract_y
_atom_site_fract_z
_atom_site_occupancy
Dy1 Dy 0.000 0.181 0.319 1
Dy2 Dy 0.000 0.819 0.681 1
Dy3 Dy 0.000 0.319 0.819 1
Dy4 Dy 0.000 0.681 0.181 1
Ni1 Ni 0.000 0.884 0.384 1
Ni2 Ni 0.000 0.116 0.616 1
Ni3 Ni 0.000 0.384 0.116 1
Ni4 Ni 0.000 0.616 0.884 1
Cu1 Cu 0.500 0.295 0.558 1
Cu2 Cu 0.500 0.705 0.442 1
Cu3 Cu 0.500 0.058 0.795 1
Cu4 Cu 0.500 0.205 0.058 1
Cu5 Cu 0.500 0.442 0.295 1
Cu6 Cu 0.500 0.500 0.000 1
Cu7 Cu 0.500 0.942 0.205 1
Cu8 Cu 0.500 0.000 0.500 1
Cu9 Cu 0.500 0.558 0.705 1
Cu10 Cu 0.500 0.795 0.942 1
Zn1 Zn 0.000 0.500 0.500 1
Zn2 Zn 0.000 0.000 0.000 1
```

Calculated values
**ΔE_f**: -0.201 eV per atom
**Space-group type**: P4/mbm (127)
**VASP energy**: -4.45 eV/atom

***

# 8
Density functional theory data (PBE) for a relaxed Dy2Zn3CuNi12 crystal.

The structure in CIF format:
```
data_Dy2Zn3CuNi12
_chemical_formula_sum 'Dy2 Zn3 Cu1 Ni12'
_space_group_name_H-M_alt 'P 1'
_space_group_IT_number 1
_space_group_name_Hall 'P 1'
_cell_length_a 9.311
_cell_length_b 9.311
_cell_length_c 9.311
_cell_angle_alpha 37.15
_cell_angle_beta 37.15
_cell_angle_gamma 37.15
loop_
_atom_site_label
_atom_site_type_symbol
_atom_site_fract_x
_atom_site_fract_y
_atom_site_fract_z
_atom_site_occupancy
Ni1 Ni 0.076 0.076 0.642 1
Ni2 Ni 0.578 0.578 0.187 1
Ni3 Ni 0.076 0.642 0.076 1
Ni4 Ni 0.924 0.358 0.924 1
Ni5 Ni 0.924 0.924 0.358 1
Ni6 Ni 0.187 0.578 0.578 1
Ni7 Ni 0.813 0.422 0.422 1
Ni8 Ni 0.358 0.924 0.924 1
Ni9 Ni 0.422 0.813 0.422 1
Ni10 Ni 0.422 0.422 0.813 1
Ni11 Ni 0.578 0.187 0.578 1
Ni12 Ni 0.642 0.076 0.076 1
Cu1 Cu 0.000 0.000 0.000 1
Dy1 Dy 0.651 0.651 0.651 1
Dy2 Dy 0.349 0.349 0.349 1
Zn1 Zn 0.500 0.000 0.000 1
Zn2 Zn 0.000 0.500 0.000 1
Zn3 Zn 0.000 0.000 0.500 1
```

Calculated values
**ΔE_f**: 0.122 eV per atom
**Space-group type**: R-3m (166)
**VASP energy**: -4.68 eV/atom

***

# 9
Density functional theory data (PBE) for a relaxed Dy2Zn2Cu5Ni crystal.

The structure in CIF format:
```
data_Dy2Zn2Cu5Ni
_chemical_formula_sum 'Dy4 Zn4 Cu10 Ni2'
_space_group_name_H-M_alt 'P 1'
_space_group_IT_number 1
_space_group_name_Hall 'P 1'
_cell_length_a 3.431
_cell_length_b 9.665
_cell_length_c 9.665
_cell_angle_alpha 90.00
_cell_angle_beta 90.00
_cell_angle_gamma 90.00
loop_
_atom_site_label
_atom_site_type_symbol
_atom_site_fract_x
_atom_site_fract_y
_atom_site_fract_z
_atom_site_occupancy
Cu1 Cu 0.500 0.550 0.686 1
Cu2 Cu 0.500 0.686 0.450 1
Cu3 Cu 0.500 0.000 0.500 1
Cu4 Cu 0.500 0.814 0.950 1
Cu5 Cu 0.500 0.186 0.050 1
Cu6 Cu 0.500 0.314 0.550 1
Cu7 Cu 0.500 0.450 0.314 1
Cu8 Cu 0.500 0.950 0.186 1
Cu9 Cu 0.500 0.500 0.000 1
Cu10 Cu 0.500 0.050 0.814 1
Dy1 Dy 0.000 0.323 0.823 1
Dy2 Dy 0.000 0.677 0.177 1
Dy3 Dy 0.000 0.823 0.677 1
Dy4 Dy 0.000 0.177 0.323 1
Ni1 Ni 0.000 0.000 0.000 1
Ni2 Ni 0.000 0.500 0.500 1
Zn1 Zn 0.000 0.877 0.377 1
Zn2 Zn 0.000 0.377 0.123 1
Zn3 Zn 0.000 0.623 0.877 1
Zn4 Zn 0.000 0.123 0.623 1
```

Calculated values
**ΔE_f**: -0.066 eV per atom
**Space-group type**: P4/mbm (127)
**VASP energy**: -3.87 eV/atom